1.
DFT (PBE) results for crystalline CrSb2Au at its relaxed geometry.

Geometry as extended XYZ:
```
4
Lattice="-3.617 3.897 -0.311 -4.456 -1.898 2.215 4.979 0.102 1.887" Properties=species:S:1:pos:R:3 pbc="T T T"
Au -1.757 -0.398 2.527
Sb -4.036 0.999 0.952
Sb 0.000 0.000 0.000
Cr -1.337 2.499 1.264
```

The total magnetization comes out at 3.73 Bohr magnetons per cell. The total DFT energy (no corrections) is -5.0016 eV per atom.

2.
DFT (PBE) results for crystalline MoIrAu2 at its relaxed geometry.

Geometry as extended XYZ:
```
4
Lattice="0.000 3.203 3.203 3.203 0.000 3.203 3.203 3.203 0.000" Properties=species:S:1:pos:R:3 pbc="T T T"
Au 4.805 4.805 4.805
Au 1.602 1.602 1.602
Ir 3.203 3.203 3.203
Mo 0.000 0.000 0.000
```

The total magnetization comes out at 0.00 Bohr magnetons per cell. The total DFT energy (no corrections) is -6.1180 eV per atom. The value obtained for the energy above the most stable polymorph in this dataset is 431.9 meV/atom.